No. 1
First-principles (PBE) data for an optimized crystal structure of B5C7, as listed in Alexandria via LeMat-Bulk.

Geometry as CIF:
```
data_B5C7
_cell_length_a 4.6431
_cell_length_b 4.6431
_cell_length_c 7.6531
_cell_angle_alpha 113.67
_cell_angle_beta 113.67
_cell_angle_gamma 32.58
_symmetry_space_group_name_H-M 'P 1'
_symmetry_Int_Tables_number 1
loop_
_symmetry_equiv_pos_as_xyz
'x,y,z'
loop_
_atom_site_label
_atom_site_fract_x
_atom_site_fract_y
_atom_site_fract_z
_atom_site_occupancy
B1 0.0000 0.0000 0.0000 1
B2 0.4665 0.4665 0.6021 1
B3 0.5009 0.5009 0.1797 1
B4 0.7115 0.7115 0.9019 1
B5 0.8314 0.8314 0.3302 1
C1 0.0088 0.0088 0.5308 1
C2 0.1635 0.1635 0.4852 1
C3 0.1788 0.1788 0.9957 1
C4 0.3252 0.3252 0.1881 1
C5 0.3268 0.3268 0.6852 1
C6 0.6631 0.6631 0.3719 1
C7 0.8320 0.8320 0.7970 1
```

Calculated values
symmetry = Cm, No. 8
relative energy among the computed polymorphs = 66 meV/atom
energy relative to the elements = 0.3237 eV/atom

No. 2
First-principles (PBE) data for an optimized crystal structure of La2LuCu, as listed in Alexandria via LeMat-Bulk.

Geometry as CIF:
```
data_La2LuCu
_cell_length_a 3.7173
_cell_length_b 3.7173
_cell_length_c 8.4130
_cell_angle_alpha 90.00
_cell_angle_beta 90.00
_cell_angle_gamma 90.00
_symmetry_space_group_name_H-M 'P 1'
_symmetry_Int_Tables_number 1
loop_
_symmetry_equiv_pos_as_xyz
'x,y,z'
loop_
_atom_site_label
_atom_site_fract_x
_atom_site_fract_y
_atom_site_fract_z
_atom_site_occupancy
La1 0.0000 0.0000 0.2080 1
La2 0.0000 0.0000 0.7920 1
Lu1 0.5000 0.5000 0.5000 1
Cu1 0.5000 0.5000 0.0000 1
```

Calculated values
symmetry = P4/mmm, No. 123
energy relative to the elements = -0.0286 eV/atom

No. 3
First-principles (PBE) data for an optimized crystal structure of InFe2W, as listed in Alexandria via LeMat-Bulk.

Geometry as CIF:
```
data_InFe2W
_cell_length_a 8.4241
_cell_length_b 8.4241
_cell_length_c 8.4241
_cell_angle_alpha 20.01
_cell_angle_beta 20.01
_cell_angle_gamma 20.01
_symmetry_space_group_name_H-M 'P 1'
_symmetry_Int_Tables_number 1
loop_
_symmetry_equiv_pos_as_xyz
'x,y,z'
loop_
_atom_site_label
_atom_site_fract_x
_atom_site_fract_y
_atom_site_fract_z
_atom_site_occupancy
In1 0.0000 0.0000 0.0000 1
Fe1 0.2434 0.2434 0.2434 1
Fe2 0.7566 0.7566 0.7566 1
W1 0.5000 0.5000 0.5000 1
```

Calculated values
symmetry = R-3m, No. 166
energy relative to the elements = 0.4290 eV/atom

No. 4
First-principles (PBE) data for an optimized crystal structure of CoRe2BI, as listed in Alexandria via LeMat-Bulk.

Geometry as CIF:
```
data_CoRe2BI
_cell_length_a 4.6684
_cell_length_b 4.6684
_cell_length_c 3.6290
_cell_angle_alpha 90.00
_cell_angle_beta 90.00
_cell_angle_gamma 90.00
_symmetry_space_group_name_H-M 'P 1'
_symmetry_Int_Tables_number 1
loop_
_symmetry_equiv_pos_as_xyz
'x,y,z'
loop_
_atom_site_label
_atom_site_fract_x
_atom_site_fract_y
_atom_site_fract_z
_atom_site_occupancy
Co1 0.0000 0.0000 0.0000 1
Re1 0.0000 0.5000 0.0000 1
Re2 0.5000 0.0000 0.0000 1
B1 0.0000 0.0000 0.5000 1
I1 0.5000 0.5000 0.5000 1
```

Calculated values
symmetry = P4/mmm, No. 123
raw formation energy = 1.5749 eV per atom

No. 5
First-principles (PBE) data for an optimized crystal structure of RePPd2Br, as listed in Alexandria via LeMat-Bulk.

Geometry as CIF:
```
data_RePPd2Br
_cell_length_a 4.5073
_cell_length_b 4.5073
_cell_length_c 5.0820
_cell_angle_alpha 90.00
_cell_angle_beta 90.00
_cell_angle_gamma 90.00
_symmetry_space_group_name_H-M 'P 1'
_symmetry_Int_Tables_number 1
loop_
_symmetry_equiv_pos_as_xyz
'x,y,z'
loop_
_atom_site_label
_atom_site_fract_x
_atom_site_fract_y
_atom_site_fract_z
_atom_site_occupancy
Re1 0.0000 0.0000 0.0000 1
P1 0.5000 0.5000 0.5000 1
Pd1 0.0000 0.5000 0.5000 1
Pd2 0.5000 0.0000 0.5000 1
Br1 0.5000 0.5000 0.0000 1
```

Calculated values
symmetry = P4/mmm, No. 123
raw formation energy = 1.1352 eV per atom

No. 6
First-principles (PBE) data for an optimized crystal structure of VAgAu2, as listed in Alexandria via LeMat-Bulk.

Geometry as CIF:
```
data_VAgAu2
_cell_length_a 2.8573
_cell_length_b 2.8573
_cell_length_c 8.2213
_cell_angle_alpha 90.00
_cell_angle_beta 90.00
_cell_angle_gamma 90.00
_symmetry_space_group_name_H-M 'P 1'
_symmetry_Int_Tables_number 1
loop_
_symmetry_equiv_pos_as_xyz
'x,y,z'
loop_
_atom_site_label
_atom_site_fract_x
_atom_site_fract_y
_atom_site_fract_z
_atom_site_occupancy
V1 0.0000 0.0000 0.0000 1
Ag1 0.0000 0.0000 0.5000 1
Au1 0.5000 0.5000 0.2316 1
Au2 0.5000 0.5000 0.7684 1
```

Calculated values
symmetry = P4/mmm, No. 123
energy relative to the elements = 0.0136 eV/atom

No. 7
First-principles (PBE) data for an optimized crystal structure of LiCdAg, as listed in Alexandria via LeMat-Bulk.

Geometry as CIF:
```
data_LiCdAg
_cell_length_a 4.5816
_cell_length_b 4.5816
_cell_length_c 4.5816
_cell_angle_alpha 60.00
_cell_angle_beta 60.00
_cell_angle_gamma 60.00
_symmetry_space_group_name_H-M 'P 1'
_symmetry_Int_Tables_number 1
loop_
_symmetry_equiv_pos_as_xyz
'x,y,z'
loop_
_atom_site_label
_atom_site_fract_x
_atom_site_fract_y
_atom_site_fract_z
_atom_site_occupancy
Li1 0.0000 0.0000 0.0000 1
Cd1 0.5000 0.5000 0.5000 1
Ag1 0.7500 0.7500 0.7500 1
```

Calculated values
symmetry = F-43m, No. 216
relative energy among the computed polymorphs = 182 meV/atom
energy relative to the elements = -0.0285 eV/atom

No. 8
First-principles (PBE) data for an optimized crystal structure of ScTcB2, as listed in Alexandria via LeMat-Bulk.

Geometry as CIF:
```
data_ScTcB2
_cell_length_a 5.7902
_cell_length_b 3.2123
_cell_length_c 10.1825
_cell_angle_alpha 90.00
_cell_angle_beta 90.00
_cell_angle_gamma 90.00
_symmetry_space_group_name_H-M 'P 1'
_symmetry_Int_Tables_number 1
loop_
_symmetry_equiv_pos_as_xyz
'x,y,z'
loop_
_atom_site_label
_atom_site_fract_x
_atom_site_fract_y
_atom_site_fract_z
_atom_site_occupancy
Sc1 0.1120 0.2500 0.1443 1
Sc2 0.3880 0.7500 0.6443 1
Sc3 0.6120 0.2500 0.3557 1
Sc4 0.8880 0.7500 0.8557 1
Tc1 0.1405 0.2500 0.4377 1
Tc2 0.3595 0.7500 0.9377 1
Tc3 0.6405 0.2500 0.0623 1
Tc4 0.8595 0.7500 0.5623 1
B1 0.0333 0.2500 0.6748 1
B2 0.2229 0.2500 0.8080 1
B3 0.2771 0.7500 0.3080 1
B4 0.4667 0.7500 0.1748 1
B5 0.5333 0.2500 0.8252 1
B6 0.7229 0.2500 0.6920 1
B7 0.7771 0.7500 0.1920 1
B8 0.9667 0.7500 0.3252 1
```

Calculated values
symmetry = Pnma, No. 62
relative energy among the computed polymorphs = 0 meV/atom
energy relative to the elements = -0.5096 eV/atom

No. 9
First-principles (PBE) data for an optimized crystal structure of YTiP3, as listed in Alexandria via LeMat-Bulk.

Geometry as CIF:
```
data_YTiP3
_cell_length_a 5.1076
_cell_length_b 5.1076
_cell_length_c 5.1076
_cell_angle_alpha 90.00
_cell_angle_beta 90.00
_cell_angle_gamma 90.00
_symmetry_space_group_name_H-M 'P 1'
_symmetry_Int_Tables_number 1
loop_
_symmetry_equiv_pos_as_xyz
'x,y,z'
loop_
_atom_site_label
_atom_site_fract_x
_atom_site_fract_y
_atom_site_fract_z
_atom_site_occupancy
Y1 0.0000 0.0000 0.0000 1
Ti1 0.5000 0.5000 0.5000 1
P1 0.0000 0.0000 0.5000 1
P2 0.0000 0.5000 0.0000 1
P3 0.5000 0.0000 0.0000 1
```

Calculated values
symmetry = Pm-3m, No. 221
relative energy among the computed polymorphs = 1304 meV/atom
energy relative to the elements = 0.8535 eV/atom

Number 1: total moment 0.000 μB per cell. Number 2: total moment 0.001 μB per cell. Number 3: total moment 2.989 μB per cell. Number 4: total moment 0.000 μB per cell. Number 5: total moment 4.205 μB per cell. Number 6: total moment 0.586 μB per cell. Number 7: total moment 0.000 μB per cell. Number 8: total moment 0.000 μB per cell. Number 9: total moment 0.098 μB per cell.